No. 1
Density functional theory data (GGA-PBE) for TlP2Au after structural relaxation. Values from VASP.

Summary:
**Energy above the lowest structure with this stoichiometry**: 295 meV per atom
**Energy relative to the elements**: 0.265 eV/atom
**Crystal system**: tetragonal
**Symmetry**: I-42d, No. 122

Cell and atoms, written as Quantum ESPRESSO input:
```
&SYSTEM
  ibrav = 0, nat = 8, ntyp = 3
/
ATOMIC_SPECIES
P 30.97 P.upf
Tl 204.38 Tl.upf
Au 196.97 Au.upf
ATOMIC_POSITIONS crystal
P 0.583 0.125 0.250
P 0.167 0.625 0.250
P 0.375 0.417 0.750
P 0.875 0.833 0.750
Tl 0.000 0.000 0.000
Tl 0.750 0.250 0.500
Au 0.500 0.500 0.000
Au 0.250 0.750 0.500
CELL_PARAMETERS angstrom
5.862 0.000 0.000
0.000 5.862 0.000
2.931 2.931 5.868
```

=====

No. 2
Density functional theory data (GGA-PBE) for Pb2CBr2 after structural relaxation. Values from VASP.

Summary:
**Energy above the lowest structure with this stoichiometry**: 0 meV per atom
**Crystal system**: tetragonal
**Symmetry**: I4/mmm, No. 139
**Formation energy (no corrections)**: 1022 meV per atom

Cell and atoms, written as Quantum ESPRESSO input:
```
&SYSTEM
  ibrav = 0, nat = 5, ntyp = 3
/
ATOMIC_SPECIES
Pb 207.20 Pb.upf
C 12.01 C.upf
Br 79.90 Br.upf
ATOMIC_POSITIONS crystal
Pb 0.750 0.250 0.500
Pb 0.250 0.750 0.500
C 0.000 0.000 0.000
Br 0.695 0.695 0.610
Br 0.305 0.305 0.390
CELL_PARAMETERS angstrom
-3.727 3.118 3.605
-3.329 -4.978 0.865
-1.247 -1.900 5.433
```

=====

No. 3
Density functional theory data (GGA-PBE) for Cs2CrS3 after structural relaxation. Values from VASP.

Summary:
**Crystal system**: orthorhombic
**Symmetry**: Cmce, No. 64
**Formation energy (no corrections)**: -960 meV per atom

Cell and atoms, written as Quantum ESPRESSO input:
```
&SYSTEM
  ibrav = 0, nat = 24, ntyp = 3
/
ATOMIC_SPECIES
Cs 132.91 Cs.upf
Cr 52.00 Cr.upf
S 32.06 S.upf
ATOMIC_POSITIONS crystal
Cs 0.564 0.371 0.356
Cs 0.065 0.371 0.144
Cs 0.436 0.629 0.644
Cs 0.935 0.629 0.856
Cs 0.361 0.777 0.072
Cs 0.861 0.777 0.428
Cs 0.639 0.223 0.928
Cs 0.139 0.223 0.572
Cr 0.747 0.007 0.175
Cr 0.247 0.007 0.325
Cr 0.253 0.993 0.825
Cr 0.753 0.993 0.675
S 0.531 0.937 0.250
S 0.469 0.063 0.750
S 0.600 0.300 0.144
S 0.100 0.300 0.356
S 0.400 0.700 0.856
S 0.900 0.700 0.644
S 0.670 0.161 0.565
S 0.170 0.161 0.935
S 0.330 0.839 0.435
S 0.830 0.839 0.065
S 0.032 0.937 0.250
S 0.968 0.063 0.750
CELL_PARAMETERS angstrom
7.114 0.000 0.267
3.557 7.185 0.134
-0.608 0.000 16.248
```

=====

No. 4
Density functional theory data (GGA-PBE) for AcGdY2 after structural relaxation. Values from VASP.

Summary:
**Energy above the lowest structure with this stoichiometry**: 0 meV per atom
**Energy relative to the elements**: 0.045 eV/atom
**Crystal system**: tetragonal
**Symmetry**: P4/mmm, No. 123

Cell and atoms, written as Quantum ESPRESSO input:
```
&SYSTEM
  ibrav = 0, nat = 4, ntyp = 3
/
ATOMIC_SPECIES
Y 88.91 Y.upf
Ac 227.00 Ac.upf
Gd 157.25 Gd.upf
ATOMIC_POSITIONS crystal
Y 0.000 0.000 0.500
Y 0.000 0.500 0.000
Ac 0.500 0.000 0.000
Gd 0.500 0.500 0.500
CELL_PARAMETERS angstrom
5.156 0.000 0.000
0.000 5.229 0.000
0.000 0.000 5.229
```